# 1
{"formula": "SrTiAlO4", "functional": "PBE-GGA", "state": "relaxed", "lattice_angstrom": [[5.847, 0.000, 0.000], [2.924, 5.064, 0.000], [2.924, 1.688, 4.774]], "species": ["Sr", "Ti", "Al", "O", "O", "O", "O"], "frac_coords": [[0.750, 0.750, 0.750], [0.500, 0.500, 0.500], [0.250, 0.250, 0.250], [0.373, 0.373, 0.880], [0.373, 0.373, 0.373], [0.373, 0.880, 0.373], [0.880, 0.373, 0.373]], "e_tot_ev_per_cell": -51.304, "formation_energy_uncorrected_mev_per_atom": -2593}

# 2
{"formula": "CsNbTeI2", "functional": "PBE-GGA", "state": "relaxed", "lattice_angstrom": [[5.989, 0.000, 0.000], [0.000, 5.989, 0.000], [0.000, 0.000, 5.463]], "species": ["Cs", "I", "I", "Nb", "Te"], "frac_coords": [[0.500, 0.500, 0.500], [0.000, 0.500, 0.000], [0.500, 0.000, 0.000], [0.000, 0.000, 0.000], [0.000, 0.000, 0.500]], "e_tot_ev_per_cell": -19.952, "formation_energy_uncorrected_mev_per_atom": -557}

# 3
{"formula": "Pm8SnGe5", "functional": "PBE-GGA", "state": "relaxed", "lattice_angstrom": [[-3.279, 0.212, -7.246], [1.442, -7.558, 2.022], [-4.978, 3.242, 5.292]], "species": ["Pm", "Pm", "Pm", "Pm", "Pm", "Pm", "Pm", "Pm", "Sn", "Ge", "Ge", "Ge", "Ge", "Ge"], "frac_coords": [[0.121, 0.756, 0.012], [0.988, 0.108, 0.744], [0.750, 0.249, 0.373], [0.627, 0.377, 0.875], [0.498, 0.623, 0.250], [0.636, 0.892, 0.879], [0.256, 0.244, 0.364], [0.125, 0.751, 0.502], [0.250, 0.500, 0.750], [0.002, 0.376, 0.126], [0.874, 0.876, 0.250], [0.750, 0.624, 0.626], [0.500, 0.000, 0.500], [0.374, 0.124, 0.998]], "e_tot_ev_per_cell": -76.415, "ef_ev_per_atom": -0.81}

# 4
{"formula": "ReTcTe", "functional": "PBE-GGA", "state": "relaxed", "lattice_angstrom": [[7.491, -0.015, 0.010], [6.684, 2.801, 0.014], [0.807, -1.047, 2.615]], "species": ["Re", "Tc", "Te"], "frac_coords": [[0.016, 0.016, 0.984], [0.652, 0.652, 0.348], [0.331, 0.331, 0.669]], "e_tot_ev_per_cell": -23.398, "formation_energy_uncorrected_mev_per_atom": 852}

# 5
{"formula": "ScCdTc", "functional": "PBE-GGA", "state": "relaxed", "lattice_angstrom": [[-1.461, 4.620, 4.635], [-2.582, 0.814, 6.135], [3.952, -2.953, -4.541]], "species": ["Cd", "Sc", "Tc"], "frac_coords": [[0.011, 0.011, 0.000], [0.319, 0.319, 0.000], [0.671, 0.671, 0.000]], "e_tot_ev_per_cell": -17.248, "ef_ev_per_atom": 0.12}

# 6
{"formula": "Zr2BiIr2", "functional": "PBE-GGA", "state": "relaxed", "lattice_angstrom": [[8.100, 0.000, 0.000], [0.000, 8.100, 0.000], [0.000, 0.000, 3.133]], "species": ["Ir", "Ir", "Ir", "Ir", "Bi", "Bi", "Zr", "Zr", "Zr", "Zr"], "frac_coords": [[0.135, 0.635, 0.500], [0.635, 0.865, 0.500], [0.865, 0.365, 0.500], [0.365, 0.135, 0.500], [0.000, 0.000, 0.000], [0.500, 0.500, 0.000], [0.349, 0.849, 0.000], [0.849, 0.651, 0.000], [0.651, 0.151, 0.000], [0.151, 0.349, 0.000]], "e_tot_ev_per_cell": -81.585, "ef_ev_per_atom": -0.42}